First-principles (PBE) data for an optimized crystal structure of TaGe3Mo, as listed in Alexandria via LeMat-Bulk.

Geometry as CIF:
```
data_TaGe3Mo
_cell_length_a 4.7902
_cell_length_b 4.7902
_cell_length_c 4.7902
_cell_angle_alpha 90.00
_cell_angle_beta 90.00
_cell_angle_gamma 90.00
_symmetry_space_group_name_H-M 'P 1'
_symmetry_Int_Tables_number 1
_symmetry_space_group_name_Hall 'P 1'
loop_
_atom_site_label
_atom_site_type_symbol
_atom_site_fract_x
_atom_site_fract_y
_atom_site_fract_z
Ge1 Ge 0.0000 0.0000 0.5000
Ge2 Ge 0.5000 0.0000 0.0000
Ge3 Ge 0.0000 0.5000 0.0000
Mo1 Mo 0.0000 0.0000 0.0000
Ta1 Ta 0.5000 0.5000 0.5000
```

First-principles (PBE) data for an optimized crystal structure of TaGe3Mo, as listed in Alexandria via LeMat-Bulk.

Geometry as CIF:
```
data_TaGe3Mo
_cell_length_a 4.9856
_cell_length_b 4.9856
_cell_length_c 4.9856
_cell_angle_alpha 90.00
_cell_angle_beta 90.00
_cell_angle_gamma 90.00
_symmetry_space_group_name_H-M 'P 1'
_symmetry_Int_Tables_number 1
_symmetry_space_group_name_Hall 'P 1'
loop_
_atom_site_label
_atom_site_type_symbol
_atom_site_fract_x
_atom_site_fract_y
_atom_site_fract_z
Mo1 Mo 0.5000 0.5000 0.5000
Ta1 Ta 0.0000 0.0000 0.0000
Ge1 Ge 0.5000 0.0000 0.0000
Ge2 Ge 0.0000 0.5000 0.0000
Ge3 Ge 0.0000 0.0000 0.5000
```

First-principles (PBE) data for an optimized crystal structure of TaGeMo3, as listed in Alexandria via LeMat-Bulk.

Geometry as CIF:
```
data_TaGeMo3
_cell_length_a 4.7883
_cell_length_b 4.7883
_cell_length_c 4.7883
_cell_angle_alpha 90.00
_cell_angle_beta 90.00
_cell_angle_gamma 90.00
_symmetry_space_group_name_H-M 'P 1'
_symmetry_Int_Tables_number 1
_symmetry_space_group_name_Hall 'P 1'
loop_
_atom_site_label
_atom_site_type_symbol
_atom_site_fract_x
_atom_site_fract_y
_atom_site_fract_z
Mo1 Mo 0.0000 0.5000 0.0000
Mo2 Mo 0.5000 0.0000 0.0000
Mo3 Mo 0.0000 0.0000 0.5000
Ge1 Ge 0.5000 0.5000 0.5000
Ta1 Ta 0.0000 0.0000 0.0000
```

Number 1: total moment 0.0000 μB/atom, energy above the most stable polymorph in this dataset 59 meV/atom, energy of formation from the pure elements 1190 meV/atom. Number 2: total moment 0.9350 μB/atom, energy above the most stable polymorph in this dataset 0 meV/atom, energy of formation from the pure elements 1131 meV/atom. Number 3: total moment 0.0199 μB/atom, energy above the most stable polymorph in this dataset 680 meV/atom, energy of formation from the pure elements 1895 meV/atom.